[1]
Entry from Alexandria via LeMat-Bulk: BePPt2W after structural relaxation (PBE).

Cell and atoms, written as POSCAR:
```
BePPt2W
1.0
4.819 0.000 0.000
0.000 4.819 0.000
0.000 0.000 4.376
Be P Pt W
1 1 2 1
Direct
0.000 0.000 0.000
0.500 0.500 0.000
0.000 0.500 0.500
0.500 0.000 0.500
0.000 0.000 0.500
```

The value obtained for the electronic total energy is -26.81 eV per cell. The formation enthalpy at 0 K comes out at 1472 meV/atom. The space-group type is No. 123. For the volume, the calculation gives 20.32 A^3/atom. As for the crystal system: tetragonal.

---

[2]
Entry from Alexandria via LeMat-Bulk: PuBeP2 after structural relaxation (PBE).

Cell and atoms, written as POSCAR:
```
PuBeP2
1.0
2.116 1.222 6.627
-2.116 1.222 6.627
0.000 -2.443 6.627
Pu Be P
1 1 2
Direct
0.000 0.000 0.000
0.500 0.500 0.500
0.400 0.400 0.400
0.600 0.600 0.600
```

The value obtained for the electronic total energy is -29.66 eV per cell. As for the energy above the most stable polymorph in this dataset: 2.001 eV per formula unit. The formation enthalpy at 0 K comes out at -196 meV/atom. The space-group type is No. 166. For the volume, the calculation gives 25.70 A^3/atom. As for the crystal system: trigonal.

---

[3]
Entry from Alexandria via LeMat-Bulk: PuBeP2 after structural relaxation (PBE).

Cell and atoms, written as POSCAR:
```
PuBeP2
1.0
18.949 0.000 0.000
0.000 3.678 0.000
0.000 0.000 3.677
Pu Be P
4 4 8
Direct
0.116 0.250 0.249
0.384 0.750 0.749
0.616 0.250 0.251
0.884 0.750 0.751
0.250 0.250 0.749
0.250 0.750 0.249
0.750 0.250 0.751
0.750 0.750 0.251
0.000 0.250 0.750
0.000 0.750 0.250
0.182 0.750 0.749
0.318 0.250 0.249
0.500 0.250 0.750
0.500 0.750 0.250
0.682 0.750 0.751
0.818 0.250 0.251
```

The value obtained for the electronic total energy is -126.65 eV per cell. As for the energy above the most stable polymorph in this dataset: 0.000 eV per formula unit. The formation enthalpy at 0 K comes out at -696 meV/atom. The space-group type is No. 62. For the volume, the calculation gives 16.01 A^3/atom. As for the crystal system: orthorhombic.

---

[4]
Entry from Alexandria via LeMat-Bulk: Pu3BeP2 after structural relaxation (PBE).

Cell and atoms, written as POSCAR:
```
Pu3BeP2
1.0
11.355 0.000 0.000
0.000 3.720 0.000
0.000 0.000 10.139
Pu Be P
12 4 8
Direct
0.055 0.250 0.099
0.124 0.750 0.586
0.194 0.250 0.747
0.306 0.750 0.247
0.376 0.250 0.086
0.445 0.750 0.599
0.555 0.250 0.401
0.624 0.750 0.914
0.694 0.250 0.753
0.806 0.750 0.253
0.876 0.250 0.414
0.945 0.750 0.901
0.134 0.250 0.365
0.366 0.750 0.865
0.634 0.250 0.135
0.866 0.750 0.635
0.052 0.750 0.311
0.204 0.750 0.968
0.296 0.250 0.468
0.448 0.250 0.811
0.552 0.750 0.189
0.704 0.750 0.532
0.796 0.250 0.032
0.948 0.250 0.689
```

The value obtained for the electronic total energy is -246.80 eV per cell. The formation enthalpy at 0 K comes out at -693 meV/atom. The space-group type is No. 62. For the volume, the calculation gives 17.85 A^3/atom. As for the crystal system: orthorhombic.

---

[5]
Entry from Alexandria via LeMat-Bulk: PuBe2P2 after structural relaxation (PBE).

Cell and atoms, written as POSCAR:
```
PuBe2P2
1.0
-1.783 1.783 5.817
1.783 -1.783 5.817
1.783 1.783 -5.817
Pu Be P
1 2 2
Direct
0.000 0.000 0.000
0.250 0.750 0.500
0.750 0.250 0.500
0.363 0.363 0.000
0.637 0.637 0.000
```

The value obtained for the electronic total energy is -35.59 eV per cell. The formation enthalpy at 0 K comes out at -598 meV/atom. The space-group type is No. 139. For the volume, the calculation gives 14.79 A^3/atom. As for the crystal system: tetragonal.

---

[6]
Entry from Alexandria via LeMat-Bulk: PuBe3P3 after structural relaxation (PBE).

Cell and atoms, written as POSCAR:
```
PuBe3P3
1.0
8.595 0.000 0.000
-4.298 7.444 0.000
0.000 0.000 3.735
Pu Be P
2 6 6
Direct
0.333 0.667 0.250
0.667 0.333 0.750
0.054 0.404 0.750
0.350 0.946 0.750
0.404 0.350 0.250
0.596 0.650 0.750
0.650 0.054 0.250
0.946 0.596 0.250
0.093 0.690 0.750
0.310 0.403 0.750
0.403 0.093 0.250
0.597 0.907 0.750
0.690 0.597 0.250
0.907 0.310 0.250
```

The value obtained for the electronic total energy is -90.34 eV per cell. The formation enthalpy at 0 K comes out at -490 meV/atom. The space-group type is No. 176. For the volume, the calculation gives 17.07 A^3/atom. As for the crystal system: hexagonal.

---

Repeat the third record exactly.
Entry from Alexandria via LeMat-Bulk: PuBeP2 after structural relaxation (PBE).

Cell and atoms, written as POSCAR:
```
PuBeP2
1.0
18.949 0.000 0.000
0.000 3.678 0.000
0.000 0.000 3.677
Pu Be P
4 4 8
Direct
0.116 0.250 0.249
0.384 0.750 0.749
0.616 0.250 0.251
0.884 0.750 0.751
0.250 0.250 0.749
0.250 0.750 0.249
0.750 0.250 0.751
0.750 0.750 0.251
0.000 0.250 0.750
0.000 0.750 0.250
0.182 0.750 0.749
0.318 0.250 0.249
0.500 0.250 0.750
0.500 0.750 0.250
0.682 0.750 0.751
0.818 0.250 0.251
```

The value obtained for the electronic total energy is -126.65 eV per cell. As for the energy above the most stable polymorph in this dataset: 0.000 eV per formula unit. The formation enthalpy at 0 K comes out at -696 meV/atom. The space-group type is No. 62. For the volume, the calculation gives 16.01 A^3/atom. As for the crystal system: orthorhombic.

---

Repeat the second record exactly.
Entry from Alexandria via LeMat-Bulk: PuBeP2 after structural relaxation (PBE).

Cell and atoms, written as POSCAR:
```
PuBeP2
1.0
2.116 1.222 6.627
-2.116 1.222 6.627
0.000 -2.443 6.627
Pu Be P
1 1 2
Direct
0.000 0.000 0.000
0.500 0.500 0.500
0.400 0.400 0.400
0.600 0.600 0.600
```

The value obtained for the electronic total energy is -29.66 eV per cell. As for the energy above the most stable polymorph in this dataset: 2.001 eV per formula unit. The formation enthalpy at 0 K comes out at -196 meV/atom. The space-group type is No. 166. For the volume, the calculation gives 25.70 A^3/atom. As for the crystal system: trigonal.

---

Q: Look up the formation enthalpy at 0 K of the first one.
A: 1472 meV/atom

---

Q: The lowest formation enthalpy at 0 K belongs to which entry?
A: number 3